{
  "formula": "Np2GaO8",
  "functional": "PBE",
  "state": "optimized geometry",
  "energy_ev_per_atom": -8.50,
  "total_magnetization_mub_per_cell": 1.01,
  "sg": "C2/m",
  "lattice": [[4.9096, -3.3741, 0.0000], [4.9096, 3.3741, 0.0000], [-0.4218, 0.0000, 5.4705]],
  "species": ["Np", "Np", "Ga", "O", "O", "O", "O", "O", "O", "O", "O"],
  "frac_coords": [[0.1735, 0.1735, 0.0685], [0.8265, 0.8265, 0.9315], [0.5000, 0.5000, 0.0000], [0.0528, 0.0528, 0.7894], [0.1739, 0.5483, 0.9103], [0.2833, 0.2833, 0.3476], [0.4517, 0.8261, 0.0897], [0.5483, 0.1739, 0.9103], [0.7167, 0.7167, 0.6524], [0.8261, 0.4517, 0.0897], [0.9472, 0.9472, 0.2106]]
}